La2InNi3Ge4 after structural relaxation. Source: Alexandria via LeMat-Bulk, functional PBE-GGA.

a b c (Å): 4.249 4.249 10.402
angles (deg): 90.00 90.00 90.00
Sites, in units of the cell vectors:
La (0.500, 0.000, 0.233)
La (0.000, 0.500, 0.767)
In (0.500, 0.500, 0.500)
Ni (0.000, 0.000, 0.500)
Ni (0.500, 0.000, 0.886)
Ni (0.000, 0.500, 0.114)
Ge (0.500, 0.500, 0.000)
Ge (0.000, 0.000, 0.000)
Ge (0.500, 0.000, 0.657)
Ge (0.000, 0.500, 0.343)

Results
- space-group type = P-4m2, No. 115
- VASP energy (eV per atom) = -5.470